The following is a DFT calculation (PBE) of a relaxed structure of RbSr2BiMo.

Properties
E_form = 0.86 eV per atom
theoretical density = 4.2 Mg/m³
SG = P4/mmm, No. 123
calculated total energy = -2.947 eV/atom

Lattice parameters (Å, degrees): 6.0334 6.1614 6.0334 90.00 90.00 90.00
Last column: magnetic moment on the atom in μB.
Positions (direct):
Mo  0.0000  0.0000  0.0000  2.85
Sr  0.5000  0.0000  0.0000  0.04
Sr  0.0000  0.0000  0.5000  0.01
Rb  0.0000  0.5000  0.0000  0.06
Bi  0.5000  0.5000  0.5000  0.17